## Li5Mn2P2C2O14 (PBE with a Hubbard U)

Data for crystalline Li5Mn2P2C2O14 at its relaxed geometry.

## Properties
Energy above the most stable polymorph in this dataset, meV/atom: 0
Total magnetization, μB/atom: 0.360
E, eV for the cell shown: -172.89

Geometry as CIF:
```
data_Li5Mn2P2C2O14
_chemical_formula_sum 'Li5 Mn2 P2 C2 O14'
_symmetry_space_group_name_H-M 'P 1'
_symmetry_Int_Tables_number 1
_symmetry_space_group_name_Hall 'P 1'
_cell_length_a 5.0692
_cell_length_b 6.4684
_cell_length_c 8.5777
_cell_angle_alpha 91.24
_cell_angle_beta 95.52
_cell_angle_gamma 90.41
loop_
_atom_site_label
_atom_site_type_symbol
_atom_site_fract_x
_atom_site_fract_y
_atom_site_fract_z
Li1 Li 0.0000 0.0000 0.0000
Li2 Li 0.0029 0.4536 0.0071
Li3 Li 0.0907 0.7091 0.6259
Li4 Li 0.4889 0.2385 0.8360
Li5 Li 0.5644 0.9429 0.4705
Mn1 Mn 0.0819 0.2315 0.4028
Mn2 Mn 0.4857 0.7311 0.0728
P1 P 0.0134 0.7364 0.3215
P2 P 0.5400 0.2276 0.1452
C1 C 0.6149 0.7417 0.7806
C2 C 0.9644 0.2203 0.6937
O1 O 0.0691 0.5437 0.4221
O2 O 0.1241 0.7167 0.1592
O3 O 0.1526 0.9142 0.4263
O4 O 0.2114 0.2456 0.6744
O5 O 0.3645 0.7297 0.7958
O6 O 0.4241 0.0440 0.0360
O7 O 0.4354 0.2283 0.3060
O8 O 0.4431 0.4152 0.0420
O9 O 0.7143 0.7635 0.6516
O10 O 0.7144 0.7823 0.2912
O11 O 0.7761 0.7324 0.9138
O12 O 0.8002 0.1934 0.5680
O13 O 0.8491 0.2235 0.1620
O14 O 0.8783 0.2250 0.8321
```

***

## Li3MnPCO7 (PBE with a Hubbard U)

Data for crystalline Li3MnPCO7 at its relaxed geometry.

## Properties
Energy above the most stable polymorph in this dataset, meV/atom: 0
Total magnetization, μB/atom: 0.385
E, eV for the cell shown: -178.43

Geometry as CIF:
```
data_Li3MnPCO7
_chemical_formula_sum 'Li6 Mn2 P2 C2 O14'
_symmetry_space_group_name_H-M 'P 1 21 1'
_symmetry_Int_Tables_number 4
_symmetry_space_group_name_Hall 'P 2yb'
_cell_length_a 4.8872
_cell_length_b 6.6779
_cell_length_c 8.7231
_cell_angle_alpha 90.00
_cell_angle_beta 91.91
_cell_angle_gamma 90.00
loop_
_atom_site_label
_atom_site_type_symbol
_atom_site_fract_x
_atom_site_fract_y
_atom_site_fract_z
Li1 Li 0.1629 0.0000 0.1198
Li2 Li 0.2718 0.2957 0.3630
Li3 Li 0.3190 0.5224 0.6873
Mn1 Mn 0.3039 0.0785 0.7389
P1 P 0.1877 0.7990 0.4280
C1 C 0.3317 0.3745 0.0225
O1 O 0.1325 0.2914 0.5784
O2 O 0.2000 0.2974 0.1321
O3 O 0.2243 0.3743 0.8818
O4 O 0.2813 0.8036 0.6020
O5 O 0.2860 0.9853 0.3406
O6 O 0.2950 0.6076 0.3501
O7 O 0.4261 0.9541 0.9547
```

***

## Li3MnPCO7 (PBE with a Hubbard U)

Data for crystalline Li3MnPCO7 at its relaxed geometry.

## Properties
Energy above the most stable polymorph in this dataset, meV/atom: 17
Total magnetization, μB/atom: 0.385
E, eV for the cell shown: -177.98

Geometry as CIF:
```
data_Li3MnPCO7
_chemical_formula_sum 'Li6 Mn2 P2 C2 O14'
_symmetry_space_group_name_H-M 'P -1'
_symmetry_Int_Tables_number 2
_symmetry_space_group_name_Hall '-P 1'
_cell_length_a 5.4212
_cell_length_b 6.7760
_cell_length_c 8.7206
_cell_angle_alpha 103.89
_cell_angle_beta 92.09
_cell_angle_gamma 97.05
loop_
_atom_site_label
_atom_site_type_symbol
_atom_site_fract_x
_atom_site_fract_y
_atom_site_fract_z
Li1 Li 0.0334 0.0215 0.2853
Li2 Li 0.1309 0.6416 0.2607
Li3 Li 0.4036 0.3546 0.2688
Mn1 Mn 0.3561 0.2688 0.9011
P1 P 0.1715 0.7650 0.9446
C1 C 0.3344 0.2612 0.5694
O1 O 0.0976 0.3486 0.1095
O2 O 0.1664 0.2209 0.6687
O3 O 0.2124 0.8337 0.1276
O4 O 0.2271 0.9441 0.8650
O5 O 0.2725 0.2169 0.4213
O6 O 0.3686 0.6116 0.8948
O7 O 0.4456 0.6534 0.3719
```

***

## Li3MnPCO7 (PBE with a Hubbard U)

Data for crystalline Li3MnPCO7 at its relaxed geometry.

## Properties
Energy above the most stable polymorph in this dataset, meV/atom: 7
Total magnetization, μB/atom: 0.385
E, eV for the cell shown: -178.24

Geometry as CIF:
```
data_Li3MnPCO7
_chemical_formula_sum 'Li6 Mn2 P2 C2 O14'
_symmetry_space_group_name_H-M 'P -1'
_symmetry_Int_Tables_number 2
_symmetry_space_group_name_Hall '-P 1'
_cell_length_a 5.2914
_cell_length_b 7.6727
_cell_length_c 8.3851
_cell_angle_alpha 76.47
_cell_angle_beta 88.95
_cell_angle_gamma 76.12
loop_
_atom_site_label
_atom_site_type_symbol
_atom_site_fract_x
_atom_site_fract_y
_atom_site_fract_z
Li1 Li 0.0332 0.3933 0.2359
Li2 Li 0.4058 0.0254 0.2185
Li3 Li 0.4254 0.6455 0.2422
Mn1 Mn 0.1036 0.1919 0.6311
P1 P 0.4072 0.7532 0.5836
C1 C 0.1457 0.2490 0.9312
O1 O 0.0638 0.6632 0.1630
O2 O 0.1538 0.2338 0.0852
O3 O 0.2888 0.2978 0.4235
O4 O 0.2891 0.8128 0.4014
O5 O 0.3156 0.5844 0.6799
O6 O 0.3209 0.9181 0.6652
O7 O 0.3494 0.1781 0.8546
```

***

## Li5Mn2P2C2O14 (PBE with a Hubbard U)

Data for crystalline Li5Mn2P2C2O14 at its relaxed geometry.

## Properties
Energy above the most stable polymorph in this dataset, meV/atom: 11
Total magnetization, μB/atom: 0.360
E, eV for the cell shown: -172.62

Geometry as CIF:
```
data_Li5Mn2P2C2O14
_chemical_formula_sum 'Li5 Mn2 P2 C2 O14'
_symmetry_space_group_name_H-M 'P 1 m 1'
_symmetry_Int_Tables_number 6
_symmetry_space_group_name_Hall 'P -2y'
_cell_length_a 5.0060
_cell_length_b 6.6063
_cell_length_c 8.5065
_cell_angle_alpha 90.00
_cell_angle_beta 94.87
_cell_angle_gamma 90.00
loop_
_atom_site_label
_atom_site_type_symbol
_atom_site_fract_x
_atom_site_fract_y
_atom_site_fract_z
Li1 Li 0.0000 0.0000 0.0000
Li2 Li 0.4716 0.2277 0.8383
Li3 Li 0.9751 0.2651 0.3539
Mn1 Mn 0.0020 0.5000 0.7601
Mn2 Mn 0.4411 0.0000 0.4466
P1 P 0.4825 0.5000 0.5177
P2 P 0.9425 0.0000 0.6900
C1 C 0.5272 0.0000 0.1400
C2 C 0.9315 0.5000 0.0483
O1 O 0.0303 0.0000 0.5209
O2 O 0.0534 0.1833 0.7907
O3 O 0.1640 0.5000 0.9874
O4 O 0.2793 0.0000 0.1710
O5 O 0.3808 0.3115 0.4260
O6 O 0.3875 0.5000 0.6884
O7 O 0.5955 0.0000 0.9958
O8 O 0.6300 0.0000 0.6818
O9 O 0.7149 0.0000 0.2567
O10 O 0.7281 0.5000 0.9396
O11 O 0.8009 0.5000 0.5423
O12 O 0.9087 0.5000 0.1947
```

***

## Li2MnPCO7 (PBE with a Hubbard U)

Data for crystalline Li2MnPCO7 at its relaxed geometry.

## Properties
Energy above the most stable polymorph in this dataset, meV/atom: 0
Total magnetization, μB/atom: 0.333
E, eV for the cell shown: -167.94

Geometry as CIF:
```
data_Li2MnPCO7
_chemical_formula_sum 'Li4 Mn2 P2 C2 O14'
_symmetry_space_group_name_H-M 'P -1'
_symmetry_Int_Tables_number 2
_symmetry_space_group_name_Hall '-P 1'
_cell_length_a 5.0942
_cell_length_b 6.3380
_cell_length_c 8.5450
_cell_angle_alpha 95.15
_cell_angle_beta 91.99
_cell_angle_gamma 94.02
loop_
_atom_site_label
_atom_site_type_symbol
_atom_site_fract_x
_atom_site_fract_y
_atom_site_fract_z
Li1 Li 0.1667 0.0252 0.2184
Li2 Li 0.2681 0.5363 0.2338
Mn1 Mn 0.2908 0.7478 0.6483
P1 P 0.1975 0.2418 0.5772
C1 C 0.2209 0.7491 0.9401
O1 O 0.0098 0.7126 0.8481
O2 O 0.0970 0.6988 0.4439
O3 O 0.1954 0.0532 0.6802
O4 O 0.2233 0.7580 0.0884
O5 O 0.3154 0.1864 0.4160
O6 O 0.3579 0.4366 0.6648
O7 O 0.4411 0.7814 0.8650
```

***

## Li6MnVP2C2O14 (PBE with a Hubbard U)

Data for crystalline Li6MnVP2C2O14 at its relaxed geometry.

## Properties
Total magnetization, μB/atom: 0.308
E, eV for the cell shown: -178.20

Geometry as CIF:
```
data_Li6MnVP2C2O14
_chemical_formula_sum 'Li6 Mn1 V1 P2 C2 O14'
_symmetry_space_group_name_H-M 'P 1 m 1'
_symmetry_Int_Tables_number 6
_symmetry_space_group_name_Hall 'P -2y'
_cell_length_a 5.0088
_cell_length_b 6.5877
_cell_length_c 8.5855
_cell_angle_alpha 90.00
_cell_angle_beta 96.70
_cell_angle_gamma 90.00
loop_
_atom_site_label
_atom_site_type_symbol
_atom_site_fract_x
_atom_site_fract_y
_atom_site_fract_z
Li1 Li 0.0000 0.0000 0.0000
Li2 Li 0.0748 0.2713 0.6220
Li3 Li 0.5325 0.2273 0.1691
Li4 Li 0.6080 0.5000 0.7916
Mn1 Mn 0.5863 0.0000 0.5586
V1 V 0.0135 0.5000 0.2239
P1 P 0.0682 0.0000 0.3029
P2 P 0.5411 0.5000 0.4874
C1 C 0.1393 0.5000 0.9355
C2 C 0.4671 0.0000 0.8583
O1 O 0.2071 0.5000 0.7946
O2 O 0.2266 0.5000 0.4670
O3 O 0.2832 0.0000 0.7366
O4 O 0.3214 0.5000 0.0582
O5 O 0.3828 0.0000 0.3203
O6 O 0.3976 0.0000 0.9995
O7 O 0.6386 0.5000 0.3240
O8 O 0.6497 0.3161 0.5907
O9 O 0.7160 0.0000 0.8331
O10 O 0.8902 0.5000 0.9632
O11 O 0.9577 0.1834 0.2009
O12 O 0.9783 0.0000 0.4685
```

***

## Li2MnSiCO7 (PBE with a Hubbard U)

Data for crystalline Li2MnSiCO7 at its relaxed geometry.

## Properties
Total magnetization, μB/atom: 0.249
E, eV for the cell shown: -167.20

Geometry as CIF:
```
data_Li2MnSiCO7
_chemical_formula_sum 'Li4 Mn2 Si2 C2 O14'
_symmetry_space_group_name_H-M 'P 1 21/m 1'
_symmetry_Int_Tables_number 11
_symmetry_space_group_name_Hall '-P 2yb'
_cell_length_a 5.0617
_cell_length_b 6.3251
_cell_length_c 8.3748
_cell_angle_alpha 90.00
_cell_angle_beta 94.07
_cell_angle_gamma 90.00
loop_
_atom_site_label
_atom_site_type_symbol
_atom_site_fract_x
_atom_site_fract_y
_atom_site_fract_z
Li1 Li 0.2285 0.0103 0.2536
Mn1 Mn 0.1971 0.2500 0.8377
Si1 Si 0.2824 0.7500 0.9240
C1 C 0.2726 0.2500 0.5525
O1 O 0.0380 0.2500 0.6092
O2 O 0.1606 0.7500 0.1013
O3 O 0.1755 0.5470 0.8180
O4 O 0.3121 0.2500 0.4063
O5 O 0.3903 0.2500 0.0444
O6 O 0.4652 0.2500 0.6679
```